Model 1:
The following is a DFT calculation (GGA-PBE) of LuScTe2 after structural relaxation.

Unit cell a=5.2112 b=5.2112 c=5.2112 alpha=60.00 beta=60.00 gamma=60.00
Last column: nearest neighbours and their distance in Å.
Fractional positions:
Te  0.2500  0.2500  0.2500  4 Sc 3.19, 4 Lu 3.19
Te  0.7500  0.7500  0.7500  4 Lu 3.19, 4 Sc 3.19
Sc  0.5000  0.5000  0.5000  8 Te 3.19
Lu  0.0000  0.0000  0.0000  8 Te 3.19

Summary:
- N(E_F) (states/eV/cell) = 1.99
- symmetry = Fm-3m (225)


Model 2:
The following is a DFT calculation (GGA-PBE) of LuScTe2 after structural relaxation.

Unit cell a=4.2227 b=4.2227 c=7.3197 alpha=73.24 beta=73.24 gamma=60.00
Last column: nearest neighbours and their distance in Å.
Fractional positions:
Te  0.7477  0.7477  0.7570  3 Sc 2.96, 3 Lu 3.02
Te  0.2523  0.2523  0.2430  3 Sc 2.96, 3 Lu 3.02
Sc  0.0000  0.0000  0.0000  6 Te 2.96
Lu  0.5000  0.5000  0.5000  6 Te 3.02

Summary:
- N(E_F) (states/eV/cell) = 2.61
- symmetry = R-3m (166)


Tell me which of them is the most stable. Sure, it is model 2.